# YO2

An optimized crystal structure of YO2 (PBE-GGA, the Alexandria database).

## Properties
* E_form (uncorrected): -2.56 eV/atom
* V: 17.45 Å³ per atom
* total energy: -8.02 eV/atom
* size of the total moment: 0.34 μB/atom

Lattice parameters (Å, degrees): 4.2723 4.2723 6.1737 102.06 102.06 100.59
Element x y z (fractional)
Y  0.1366  0.8634  0.7500
Y  0.8634  0.1366  0.2500
O  0.0023  0.3089  0.6494
O  0.3089  0.0023  0.1494
O  0.6911  0.9977  0.8506
O  0.9977  0.6911  0.3506

=====

# YO

An optimized crystal structure of YO (PBE-GGA, the Alexandria database).

## Properties
* E_form (uncorrected): -2.78 eV/atom
* V: 17.33 Å³ per atom
* total energy: -8.49 eV/atom
* size of the total moment: 0.13 μB/atom

Lattice parameters (Å, degrees): 3.4333 5.9625 5.9625 121.57 90.00 90.00
Element x y z (fractional)
Y  0.0000  0.0000  0.0000
Y  0.5000  0.3691  0.7285
Y  0.5000  0.7285  0.3691
O  0.0000  0.0643  0.6319
O  0.0000  0.6319  0.0643
O  0.5000  0.7539  0.7539